1.
A plane-wave DFT calculation with GGA-PBE was carried out for a relaxed structure of InNiP2.

```
InNiP2
1.0
-2.084 2.084 3.727
2.084 -2.084 3.727
2.084 2.084 -3.727
In Ni P
1 1 2
Direct
0.000 0.000 0.000
0.500 0.500 0.000
0.250 0.750 0.500
0.750 0.250 0.500
```

Output
The total energy comes out at -4.37 eV per atom. As for the energy relative to the elements: 44.72 kJ per mole of atoms. For the spin magnetization, the calculation gives 0.000 Bohr magnetons per cell.



2.
A plane-wave DFT calculation with GGA-PBE was carried out for a relaxed structure of Rb2LiFeH6.

```
Rb2LiFeH6
1.0
5.878 0.000 0.000
-2.939 5.091 0.000
0.000 0.000 4.816
Rb Li Fe H
2 1 1 6
Direct
0.333 0.667 0.258
0.667 0.333 0.742
0.000 0.000 0.000
0.000 0.000 0.500
0.128 0.256 0.699
0.128 0.872 0.699
0.256 0.128 0.301
0.744 0.872 0.699
0.872 0.128 0.301
0.872 0.744 0.301
```

Output
The total energy comes out at -3.45 eV per atom. For the spin magnetization, the calculation gives 1.000 Bohr magnetons per cell.



3.
A plane-wave DFT calculation with GGA-PBE was carried out for a relaxed structure of CaThInCu.

```
CaThInCu
1.0
0.000 3.742 3.742
3.742 0.000 3.742
3.742 3.742 0.000
Ca Th In Cu
1 1 1 1
Direct
0.000 0.000 0.000
0.500 0.500 0.500
0.250 0.250 0.250
0.750 0.750 0.750
```

Output
The total energy comes out at -4.20 eV per atom. As for the energy relative to the elements: -13.28 kJ per mole of atoms. For the spin magnetization, the calculation gives 0.000 Bohr magnetons per cell.



4.
A plane-wave DFT calculation with GGA-PBE was carried out for a relaxed structure of AlIr2I.

```
AlIr2I
1.0
0.000 3.244 3.244
3.244 0.000 3.244
3.244 3.244 0.000
Al Ir I
1 2 1
Direct
0.000 0.000 0.000
0.250 0.250 0.250
0.750 0.750 0.750
0.500 0.500 0.500
```

Output
The calculation puts the uncorrected formation energy at 0.599 eV/atom. The total energy comes out at -5.15 eV per atom. For the spin magnetization, the calculation gives 0.000 Bohr magnetons per cell. The excess energy over the best structure of this formula in the dataset is 13.7 kJ/mol of atoms.



What is the spin magnetization in the second record? 1.000 Bohr magnetons per cell